{"formula": "PIrAuOF", "functional": "PBE", "state": "optimized geometry", "lattice_angstrom": [[-4.0594, 0.4879, -2.5349], [0.5870, -2.2004, -1.3634], [-2.4050, -3.5723, 4.7300]], "species": ["Ir", "F", "Au", "P", "O"], "frac_coords": [[0.4761, 0.0000, 0.6941], [0.7938, 0.5000, 0.1183], [0.9658, 0.5000, 0.6487], [0.4858, 0.5000, 0.9920], [0.3657, 0.0000, 0.1244]], "e_form_raw_mev_per_atom": -894, "spacegroup": "Pm (6)", "e_tot_ev_per_cell": -28.85, "rho_g_cm3": 9.331, "dos_ef_per_ev_cell": 1.91}

=====

{"formula": "PIrAuOF", "functional": "PBE", "state": "optimized geometry", "lattice_angstrom": [[3.4577, 0.0033, -0.0080], [0.4883, 5.8740, -0.0040], [0.7315, 0.9719, 6.0514]], "species": ["F", "Ir", "O", "Au", "P"], "frac_coords": [[0.4205, 0.0669, 0.2451], [0.9511, 0.6217, 0.4951], [0.0033, 0.4784, 0.7815], [0.8355, 0.6152, 0.0626], [0.4579, 0.7952, 0.3284]], "e_form_raw_mev_per_atom": -601, "spacegroup": "P1 (1)", "e_tot_ev_per_cell": -27.38, "rho_g_cm3": 6.148, "dos_ef_per_ev_cell": 0.03}

=====

{"formula": "PIrAuOF", "functional": "PBE", "state": "optimized geometry", "lattice_angstrom": [[-1.0765, -2.1632, -2.1018], [4.6997, 0.4143, -0.3954], [0.6475, -3.9533, 3.7577]], "species": ["O", "Ir", "F", "Au", "P"], "frac_coords": [[0.9539, 0.5733, 0.2792], [0.1646, 0.9931, 0.4281], [0.2134, 0.0939, 0.0566], [0.0044, 0.6718, 0.8258], [0.8345, 0.3325, 0.4975]], "e_form_raw_mev_per_atom": -773, "spacegroup": "P1 (1)", "e_tot_ev_per_cell": -28.24, "rho_g_cm3": 9.643, "dos_ef_per_ev_cell": 0.70}